# 1
K2SnHg5 | PBE | optimized geometry

```
K2SnHg5
1.0
-0.086 7.082 1.302
-7.069 -0.330 1.332
4.568 -4.289 3.704
Hg K Sn
5 2 1
Direct
0.290 0.290 0.999 Hg
0.290 0.709 0.999 Hg
0.709 0.709 0.000 Hg
0.709 0.290 0.999 Hg
0.740 0.740 0.480 Hg
0.253 0.752 0.505 K
0.752 0.253 0.505 K
0.033 0.033 0.065 Sn
```

For the formation energy from the elements, the calculation gives -0.14 eV/atom.


# 2
KCu2H2S2O10 | PBE | optimized geometry

```
KCu2H2S2O10
1.0
-4.369 3.620 -0.154
-4.985 -2.714 -0.076
-4.341 0.506 6.805
O H Cu S K
10 2 2 2 1
Direct
0.231 0.840 0.234 O
0.160 0.769 0.766 O
0.168 0.168 0.810 O
0.840 0.231 0.234 O
0.769 0.160 0.766 O
0.183 0.183 0.500 O
0.817 0.817 0.500 O
0.832 0.832 0.190 O
0.334 0.334 0.044 O
0.666 0.666 0.956 O
0.700 0.700 0.818 H
0.300 0.300 0.182 H
0.000 0.500 0.000 Cu
0.500 0.000 0.000 Cu
0.926 0.926 0.289 S
0.074 0.074 0.711 S
0.500 0.500 0.500 K
```

For the total energy, the calculation gives -93.7 eV per cell.


# 3
HfCo2Cl | PBE | optimized geometry

```
HfCo2Cl
1.0
4.418 0.000 0.000
0.000 4.418 0.000
2.209 2.209 6.712
Co Cl Hf
4 2 2
Direct
0.875 0.753 0.750 Co
0.503 0.125 0.250 Co
0.375 0.497 0.750 Co
0.247 0.625 0.250 Co
0.250 0.750 0.500 Cl
0.500 0.500 0.000 Cl
0.750 0.250 0.500 Hf
0.000 0.000 0.000 Hf
```

The formation energy from raw total energies is 0.42 eV/atom.


# 4
Sm2DyHoTe5 | PBE | optimized geometry

```
Sm2DyHoTe5
1.0
5.522 0.000 0.000
0.000 5.522 0.000
0.000 0.000 11.549
Te Dy Sm Ho
5 1 2 1
Direct
0.000 0.000 0.246 Te
0.500 0.500 0.000 Te
0.000 0.000 0.754 Te
0.000 0.500 0.500 Te
0.500 0.000 0.500 Te
0.000 0.000 0.000 Dy
0.500 0.500 0.342 Sm
0.500 0.500 0.658 Sm
0.000 0.000 0.500 Ho
```

The formation energy from raw total energies is -0.75 eV/atom.


# 5
MgScTiI2 | PBE | optimized geometry

```
MgScTiI2
1.0
-1.694 -4.681 -2.234
5.057 -0.970 -1.803
1.188 -2.720 4.797
I Mg Sc Ti
2 1 1 1
Direct
0.500 0.000 0.000 I
0.000 0.500 0.000 I
0.000 0.000 0.000 Mg
0.500 0.500 0.500 Sc
0.000 0.000 0.500 Ti
```

The formation energy from raw total energies is 0.71 eV/atom.


# 6
MnFe5Si2W2 | PBE | optimized geometry

```
MnFe5Si2W2
1.0
-3.185 0.792 0.537
-1.939 -8.304 0.754
1.521 0.409 8.415
W Si Fe Mn
4 4 10 2
Direct
0.000 0.676 0.176 W
0.000 0.324 0.824 W
0.000 0.176 0.324 W
0.000 0.824 0.676 W
0.000 0.122 0.622 Si
0.000 0.622 0.878 Si
0.000 0.378 0.122 Si
0.000 0.878 0.378 Si
0.500 0.441 0.297 Fe
0.500 0.000 0.500 Fe
0.500 0.059 0.797 Fe
0.500 0.941 0.203 Fe
0.500 0.500 0.000 Fe
0.500 0.703 0.441 Fe
0.500 0.297 0.559 Fe
0.500 0.797 0.941 Fe
0.500 0.203 0.059 Fe
0.500 0.559 0.703 Fe
0.000 0.000 0.000 Mn
0.000 0.500 0.500 Mn
```

The formation energy from raw total energies is -0.04 eV/atom.


# 7
RbSrH6Au3 | PBE | optimized geometry

```
RbSrH6Au3
1.0
1.176 -0.180 6.327
-3.574 -5.015 -1.876
6.072 -1.758 1.219
H Sr Au Rb
6 1 3 1
Direct
0.877 0.560 0.069 H
0.065 0.697 0.616 H
0.440 0.931 0.877 H
0.303 0.384 0.065 H
0.069 0.123 0.440 H
0.616 0.935 0.303 H
0.033 0.967 0.033 Sr
0.515 0.925 0.095 Au
0.075 0.905 0.515 Au
0.095 0.485 0.075 Au
0.484 0.516 0.484 Rb
```

For the total energy, the calculation gives -35.3 eV per cell.


# 8
EuMgHg | PBE | optimized geometry

```
EuMgHg
1.0
-0.609 -2.997 -2.318
-1.522 -2.734 3.934
-3.330 2.704 -2.621
Mg Eu Hg
1 1 1
Direct
0.166 0.000 0.000 Mg
0.667 0.667 0.333 Eu
0.167 0.333 0.667 Hg
```

For the formation energy from the elements, the calculation gives -0.34 eV/atom.


Number 1: DOS(E_F) 0.429 states/eV per atom, V 270 Å³/cell. Number 2: DOS(E_F) 0.167 states/eV per atom, V 207 Å³/cell. Number 3: DOS(E_F) 0.926 states/eV per atom, V 131 Å³/cell. Number 4: DOS(E_F) 0.523 states/eV per atom, V 352 Å³/cell. Number 5: DOS(E_F) 1.293 states/eV per atom, V 168 Å³/cell. Number 6: DOS(E_F) 0.952 states/eV per atom, V 244 Å³/cell. Number 7: DOS(E_F) 0.000 states/eV per atom, V 223 Å³/cell. Number 8: DOS(E_F) 2.401 states/eV per atom, V 84 Å³/cell.